Record 1
A relaxed HgOs2 crystal. Source: Alexandria via LeMat-Bulk, functional PBE.

Cell: 3.478 4.882 6.934 Å, 90.00 90.00 90.00°
Sites, in units of the cell vectors:
1 Os 0.271 0.500 0.881
2 Os 0.729 0.500 0.119
3 Os 0.229 0.000 0.381
4 Os 0.771 0.000 0.619
5 Hg 0.500 0.500 0.500
6 Hg 0.000 0.000 0.000

Output
The value obtained for the excess energy over the best structure of this formula in the dataset is 1114 meV/atom. The total moment is 0.0 μB per formula unit. The calculated volume is 19.6 A^3/atom. Its density of states at the Fermi level is 6.9 states/eV per cell.

---

Record 2
A relaxed Nd2Dy9Ho crystal. Source: Alexandria via LeMat-Bulk, functional PBE.

Cell: 5.039 5.039 15.113 Å, 90.00 90.00 90.00°
Sites, in units of the cell vectors:
1 Nd 0.000 0.000 0.667
2 Nd 0.000 0.000 0.333
3 Dy 0.500 0.500 0.668
4 Dy 0.000 0.500 0.836
5 Dy 0.500 0.500 0.332
6 Dy 0.500 0.500 0.000
7 Dy 0.000 0.500 0.500
8 Dy 0.000 0.500 0.164
9 Dy 0.500 0.000 0.164
10 Dy 0.500 0.000 0.500
11 Dy 0.500 0.000 0.836
12 Ho 0.000 0.000 0.000

Output
The value obtained for the excess energy over the best structure of this formula in the dataset is 0 meV/atom. The total moment is 0.0 μB per formula unit. The calculated volume is 32.0 A^3/atom. Its density of states at the Fermi level is 17.5 states/eV per cell.

---

Question: Which value of total moment does entry 1 give?
Answer: 0.0 μB per formula unit